A geometry-optimized SrAuSe2 structure, computed with GGA-PBE.

Structure (CIF):
```
data_SrAuSe2
_symmetry_space_group_name_H-M 'P 1 m 1'
_symmetry_Int_Tables_number 6
_cell_length_a 4.2238
_cell_length_b 4.9165
_cell_length_c 5.4086
_cell_angle_alpha 90.00
_cell_angle_beta 98.74
_cell_angle_gamma 90.00
loop_
_symmetry_equiv_pos_as_xyz
'x,y,z'
'x,-y,z'
loop_
_atom_site_label
_atom_site_type_symbol
_atom_site_fract_x
_atom_site_fract_y
_atom_site_fract_z
Sr1 Sr 0.0000 0.0000 0.0000
Au1 Au 0.4583 0.5000 0.4683
Se1 Se 0.4769 0.5000 0.9658
Se2 Se 0.6024 0.0000 0.4538
```

Summary:
polymorph energy (0 for the lowest one): 0.000 eV/atom
raw formation energy: -3.9 eV/f.u.
DOS at the Fermi energy: 0.39 states/eV/cell
DFT total energy: -3.94 eV per atom